Entry 1:
Crystalline Hf5BiSb at its relaxed geometry, computed with GGA-PBE.

Structure (CIF):
```
data_Hf5BiSb
_chemical_formula_sum 'Hf20 Bi4 Sb4'
_space_group_name_H-M_alt 'C 1 2/c 1'
_space_group_IT_number 15
_cell_length_a 7.615
_cell_length_b 7.894
_cell_length_c 11.389
_cell_angle_alpha 90.00
_cell_angle_beta 107.59
_cell_angle_gamma 90.00
loop_
_space_group_symop_operation_xyz
'x,y,z'
'-x,-y,-z'
'-x,y,-z+1/2'
'x,-y,z+1/2'
'x+1/2,y+1/2,z'
'-x+1/2,-y+1/2,-z'
'-x+1/2,y+1/2,-z+1/2'
'x+1/2,-y+1/2,z+1/2'
loop_
_atom_site_label
_atom_site_fract_x
_atom_site_fract_y
_atom_site_fract_z
Hf1 0.000 0.044 0.250
Hf2 0.141 0.371 0.564
Hf3 0.211 0.255 0.863
Bi1 0.000 0.420 0.250
Sb1 0.000 0.000 0.000
```

---

Entry 2:
Crystalline HfBiSbSe2 at its relaxed geometry, computed with GGA-PBE.

Structure (CIF):
```
data_HfBiSbSe2
_chemical_formula_sum 'Hf1 Bi1 Sb1 Se2'
_space_group_name_H-M_alt 'P 4/m m m'
_space_group_IT_number 123
_space_group_name_Hall '-P 4 2'
_cell_length_a 5.333
_cell_length_b 5.333
_cell_length_c 5.713
_cell_angle_alpha 90.00
_cell_angle_beta 90.00
_cell_angle_gamma 90.00
loop_
_atom_site_label
_atom_site_fract_x
_atom_site_fract_y
_atom_site_fract_z
Hf1 0.000 0.000 0.000
Bi1 0.500 0.500 0.500
Sb1 0.500 0.500 0.000
Se1 0.000 0.500 0.500
```

---

Number 1: total energy -231.359 eV per cell, uncorrected formation energy -0.010 eV/atom, total magnetic moment 0.000 μB/f.u.. Number 2: total energy -20.536 eV per cell, uncorrected formation energy 0.878 eV/atom, total magnetic moment 0.198 μB/f.u..